Version 1
This record from Alexandria via LeMat-Bulk describes PmDyInAu after structural relaxation. The functional is PBE.

Properties
Magnetization = 0.000 μB/atom
Density of states at the Fermi level = 0.60 states/eV/atom
Symmetry = No. 99
V = 25.99 Å³/atom

a = 3.6475 Å, b = 3.6475 Å, c = 7.8132 Å
α = 90.00°, β = 90.00°, γ = 90.00°
Last column: nearest neighbours and their distance in Å.
Atoms (fractional coordinates):
1 Pm 0.0000 0.0000 0.8435  4 Au 3.27, 4 In 3.35, 1 Dy 3.62, 4 Pm 3.65
2 Dy 0.0000 0.0000 0.3805  4 Au 3.04, 4 In 3.30
3 In 0.5000 0.5000 0.1173  4 Dy 3.30, 4 Pm 3.35, 4 In 3.65, 1 Au 3.67
4 Au 0.5000 0.5000 0.5867  4 Dy 3.04, 4 Pm 3.27

***

Version 2
This record from Alexandria via LeMat-Bulk describes PmDyInAu after structural relaxation. The functional is PBE.

Properties
Magnetization = 0.012 μB/atom
Density of states at the Fermi level = 1.04 states/eV/atom
Symmetry = No. 216
V = 26.21 Å³/atom

a = 5.2927 Å, b = 5.2927 Å, c = 5.2927 Å
α = 60.00°, β = 60.00°, γ = 60.00°
Last column: nearest neighbours and their distance in Å.
Atoms (fractional coordinates):
1 In 0.5000 0.5000 0.5000  4 Pm 3.24, 4 Dy 3.24
2 Pm 0.2500 0.2500 0.2500  4 In 3.24, 4 Au 3.24
3 Au 0.0000 0.0000 0.0000  4 Dy 3.24, 4 Pm 3.24
4 Dy 0.7500 0.7500 0.7500  4 Au 3.24, 4 In 3.24

***

It turns out version 1 is the most stable, with the second structure 6.9 kJ/mol of atoms higher.

***

Version 1
This record from Alexandria via LeMat-Bulk describes Dy3IrAu after structural relaxation. The functional is PBE.

Properties
Magnetization = 0.000 μB/atom
Density of states at the Fermi level = 0.72 states/eV/atom
Symmetry = No. 62
V = 25.30 Å³/atom

a = 4.3736 Å, b = 7.5332 Å, c = 15.3594 Å
α = 90.00°, β = 90.00°, γ = 90.00°
Last column: nearest neighbours and their distance in Å.
Atoms (fractional coordinates):
1 Dy 0.2500 0.3673 0.5547  3 Ir 2.84-2.98, 2 Au 3.10
2 Dy 0.7500 0.8195 0.2210  1 Ir 2.78, 2 Au 2.97
3 Dy 0.7500 0.4848 0.9021  3 Ir 2.87-2.90
4 Dy 0.7500 0.9848 0.5979  3 Ir 2.87-2.90
5 Dy 0.7500 0.6327 0.4453  3 Ir 2.84-2.98, 2 Au 3.10
6 Dy 0.2500 0.0152 0.4021  3 Ir 2.87-2.90
7 Dy 0.2500 0.8673 0.9453  3 Ir 2.84-2.98, 2 Au 3.10
8 Dy 0.7500 0.3195 0.2790  1 Ir 2.78, 2 Au 2.97
9 Dy 0.2500 0.6805 0.7210  1 Ir 2.78, 2 Au 2.97
10 Dy 0.2500 0.1805 0.7790  1 Ir 2.78, 2 Au 2.97
11 Dy 0.7500 0.1327 0.0547  3 Ir 2.84-2.98, 2 Au 3.10
12 Dy 0.2500 0.5152 0.0979  3 Ir 2.87-2.90
13 Ir 0.2500 0.2629 0.9553  7 Dy 2.78-2.98
14 Ir 0.2500 0.7629 0.5447  7 Dy 2.78-2.98
15 Ir 0.7500 0.2371 0.4553  7 Dy 2.78-2.98
16 Ir 0.7500 0.7371 0.0447  7 Dy 2.78-2.98
17 Au 0.7500 0.8892 0.8029  7 Dy 2.97-3.23
18 Au 0.2500 0.1108 0.1971  7 Dy 2.97-3.23
19 Au 0.7500 0.3892 0.6971  7 Dy 2.97-3.23
20 Au 0.2500 0.6108 0.3029  7 Dy 2.97-3.23

***

Version 2
This record from Alexandria via LeMat-Bulk describes Dy3IrAu after structural relaxation. The functional is PBE.

Properties
Magnetization = 0.000 μB/atom
Density of states at the Fermi level = 0.68 states/eV/atom
Symmetry = No. 2
V = 25.36 Å³/atom

a = 5.5171 Å, b = 6.7756 Å, c = 8.5009 Å
α = 118.27°, β = 79.87°, γ = 114.99°
Last column: nearest neighbours and their distance in Å.
Atoms (fractional coordinates):
1 Dy 0.4655 0.7899 0.1444  3 Ir 2.86-2.97, 2 Au 3.01-3.18
2 Dy 0.1600 0.3941 0.6832  2 Ir 2.79-3.02, 2 Au 3.10-3.12
3 Dy 0.8666 0.8063 0.7635  2 Ir 2.74-2.77
4 Dy 0.1334 0.1937 0.2365  2 Ir 2.74-2.77
5 Dy 0.5345 0.2101 0.8556  3 Ir 2.86-2.97, 2 Au 3.01-3.18
6 Dy 0.8400 0.6059 0.3168  2 Ir 2.79-3.02, 2 Au 3.10-3.12
7 Ir 0.9402 0.6957 0.0182  7 Dy 2.74-3.02, 1 Ir 2.86
8 Ir 0.0598 0.3043 0.9818  7 Dy 2.74-3.02, 1 Ir 2.86
9 Au 0.6340 0.2507 0.4905  7 Dy 3.01-3.23, 1 Au 3.15
10 Au 0.3660 0.7493 0.5095  7 Dy 3.01-3.23, 1 Au 3.15

***

It turns out version 1 is the most stable, with the second structure 6.7 kJ/mol of atoms higher.